Entry from the Alexandria database: a relaxed structure of CaTiSb2I (PBE).

a b c (Å): 5.2585 5.2585 5.8025
angles (deg): 90.00 90.00 90.00
Last column: nearest neighbours and their distance in Å.
Space group P4/mmm (No. 123)
Inequivalent atoms, fractional coordinates:
Ca 0.0000 0.0000 0.0000  4 I 3.72, 8 Sb 3.92
Ti 0.5000 0.5000 0.5000  4 Sb 2.63, 2 I 2.90
Sb 0.0000 0.5000 0.5000  2 Ti 2.63
I 0.5000 0.5000 0.0000  2 Ti 2.90

- ΔE_f (raw): -0.322 eV/atom
- E_tot: -4.260 eV per atom
- Size of the total moment: 0.00 μB/f.u.